# 1
DFT (PBE) results for a relaxed structure of ZrTaMn2.

Output
- DOS(E_F): 3.166 states/eV/cell
- Symmetry: No. 123
- Total DFT energy (no corrections): -9.795 eV per atom
- Formation energy: -110 meV/atom

Unit cell a=4.4193 b=4.4193 c=3.1178 alpha=90.00 beta=90.00 gamma=90.00
Fractional coordinates of all 4 atoms:
Zr1 0.0000 0.0000 0.0000
Ta1 0.5000 0.5000 0.0000
Mn1 0.0000 0.5000 0.5000
Mn2 0.5000 0.0000 0.5000



# 2
DFT (PBE) results for a relaxed structure of NaZnHg.

Output
- DOS(E_F): 1.758 states/eV/cell
- Energy above the lowest structure with this stoichiometry: 0 meV/atom
- Symmetry: No. 12
- Total DFT energy (no corrections): -1.080 eV per atom
- Formation energy: -115 meV/atom

Unit cell a=5.8304 b=5.8304 c=4.8817 alpha=114.61 beta=114.61 gamma=93.84
Fractional coordinates of all 6 atoms:
Na1 0.2450 0.2450 0.2451
Na2 0.7550 0.7550 0.7549
Zn1 0.3431 0.6569 0.0000
Zn2 0.6569 0.3431 0.0000
Hg1 0.1793 0.8207 0.5000
Hg2 0.8207 0.1793 0.5000



# 3
DFT (PBE) results for a relaxed structure of Zr5BiB2.

Output
- DOS(E_F): 20.921 states/eV/cell
- Symmetry: No. 140
- Total DFT energy (no corrections): -7.877 eV per atom
- Formation energy: -380 meV/atom

Unit cell a=8.1709 b=8.1709 c=8.1709 alpha=131.18 beta=131.18 gamma=71.53
Fractional coordinates of all 16 atoms:
Zr1 0.0000 0.0000 0.0000
Zr2 0.0491 0.5491 0.8441
Zr3 0.2050 0.0491 0.5000
Zr4 0.2950 0.7950 0.8441
Zr5 0.4509 0.2950 0.5000
Zr6 0.5000 0.5000 0.0000
Zr7 0.5491 0.7050 0.5000
Zr8 0.7050 0.2050 0.1559
Zr9 0.7950 0.9509 0.5000
Zr10 0.9509 0.4509 0.1559
Bi1 0.2500 0.2500 0.0000
Bi2 0.7500 0.7500 0.0000
B1 0.1059 0.3941 0.5000
B2 0.3941 0.8941 0.2882
B3 0.6059 0.1059 0.7118
B4 0.8941 0.6059 0.5000



# 4
DFT (PBE) results for a relaxed structure of La5Mo.

Output
- DOS(E_F): 11.689 states/eV/cell
- Energy above the lowest structure with this stoichiometry: 34 meV/atom
- Symmetry: No. 187
- Total DFT energy (no corrections): -5.585 eV per atom
- Formation energy: 326 meV/atom

Unit cell a=3.6996 b=3.6996 c=16.6836 alpha=90.00 beta=90.00 gamma=120.00
Fractional coordinates of all 6 atoms:
La1 0.0000 0.0000 0.0000
La2 0.0000 0.0000 0.3755
La3 0.0000 0.0000 0.6245
La4 0.6667 0.3333 0.1813
La5 0.6667 0.3333 0.8187
Mo1 0.6667 0.3333 0.5000



# 5
DFT (PBE) results for a relaxed structure of Zr6CN2.

Output
- DOS(E_F): 9.307 states/eV/cell
- Symmetry: No. 162
- E_form (uncorrected): -0.974 eV per atom
- Total DFT energy (no corrections): -9.547 eV per atom

Unit cell a=5.7264 b=5.7264 c=5.3393 alpha=90.00 beta=90.00 gamma=120.00
Fractional coordinates of all 9 atoms:
Zr1 0.0000 0.3350 0.2605
Zr2 0.0000 0.6650 0.7395
Zr3 0.3350 0.0000 0.2605
Zr4 0.3350 0.3350 0.7395
Zr5 0.6650 0.0000 0.7395
Zr6 0.6650 0.6650 0.2605
C1 0.0000 0.0000 0.5000
N1 0.3333 0.6667 0.5000
N2 0.6667 0.3333 0.5000



# 6
DFT (PBE) results for a relaxed structure of Sr2TmCd10.

Output
- DOS(E_F): 16.564 states/eV/cell
- Symmetry: No. 55
- Total DFT energy (no corrections): -1.362 eV per atom
- Formation energy: -55 meV/atom

Unit cell a=6.9411 b=18.6906 c=6.2514 alpha=90.00 beta=90.00 gamma=90.00
Fractional coordinates of all 26 atoms:
Sr1 0.1124 0.1684 0.0000
Sr2 0.3876 0.6684 0.0000
Sr3 0.6124 0.3316 0.0000
Sr4 0.8876 0.8316 0.0000
Tm1 0.0000 0.5000 0.5000
Tm2 0.5000 0.0000 0.5000
Cd1 0.0776 0.7732 0.5000
Cd2 0.0974 0.9346 0.5000
Cd3 0.1172 0.3542 0.2262
Cd4 0.1172 0.3542 0.7738
Cd5 0.2337 0.6329 0.5000
Cd6 0.2663 0.1329 0.5000
Cd7 0.3828 0.8542 0.2262
Cd8 0.3828 0.8542 0.7738
Cd9 0.4026 0.4346 0.5000
Cd10 0.4224 0.2732 0.5000
Cd11 0.5776 0.7268 0.5000
Cd12 0.5974 0.5654 0.5000
Cd13 0.6172 0.1458 0.2262
Cd14 0.6172 0.1458 0.7738
Cd15 0.7337 0.8671 0.5000
Cd16 0.7663 0.3671 0.5000
Cd17 0.8828 0.6458 0.2262
Cd18 0.8828 0.6458 0.7738
Cd19 0.9026 0.0654 0.5000
Cd20 0.9224 0.2268 0.5000